Material: Tb2NdAg2Ge2
Method: DFT, PBE
State: relaxed

abc: 4.587 4.587 9.535
angles: 76.08 76.08 60.00
Positions (direct):
Ge (0.257, 0.257, 0.230)
Ge (0.743, 0.743, 0.770)
Nd (0.000, 0.000, 0.000)
Tb (0.872, 0.872, 0.385)
Tb (0.128, 0.128, 0.615)
Ag (0.403, 0.403, 0.791)
Ag (0.597, 0.597, 0.209)

The calculation puts the formation enthalpy at 0 K at -0.427 eV/atom. For the calculated total energy, the calculation gives -4.57 eV per atom. The value obtained for the density of states at the Fermi level is 0.446 states/eV per atom.